AlSiTc2: relaxed, PBE.

CIF file:
```
data_AlSiTc2
_chemical_formula_sum 'Al1 Si1 Tc2'
_cell_length_a 2.932
_cell_length_b 3.466
_cell_length_c 5.687
_cell_angle_alpha 90.00
_cell_angle_beta 99.59
_cell_angle_gamma 90.00
_symmetry_space_group_name_H-M 'P 1 2/m 1'
_symmetry_Int_Tables_number 10
loop_
_symmetry_equiv_pos_as_xyz
'x,y,z'
'-x,-y,-z'
'-x,y,-z'
'x,-y,z'
loop_
_atom_site_label
_atom_site_type_symbol
_atom_site_fract_x
_atom_site_fract_y
_atom_site_fract_z
_atom_site_occupancy
Al1 Al 0.000 0.000 0.000 1
Si1 Si 0.000 0.000 0.500 1
Tc1 Tc 0.377 0.500 0.735 1
```

Computed properties:
**ΔE to the lowest computed polymorph**: 122 meV/atom
**E_tot**: -7.759 eV/atom

=====

Al2SiTc: relaxed, PBE.

CIF file:
```
data_Al2SiTc
_chemical_formula_sum 'Al4 Si2 Tc2'
_cell_length_a 3.157
_cell_length_b 4.718
_cell_length_c 8.264
_cell_angle_alpha 90.00
_cell_angle_beta 90.00
_cell_angle_gamma 90.00
_symmetry_space_group_name_H-M 'C m m 2'
_symmetry_Int_Tables_number 35
loop_
_symmetry_equiv_pos_as_xyz
'x,y,z'
'-x,-y,z'
'-x,y,z'
'x,-y,z'
'x+1/2,y+1/2,z'
'-x+1/2,-y+1/2,z'
'-x+1/2,y+1/2,z'
'x+1/2,-y+1/2,z'
loop_
_atom_site_label
_atom_site_type_symbol
_atom_site_fract_x
_atom_site_fract_y
_atom_site_fract_z
_atom_site_occupancy
Al1 Al 0.000 0.000 0.000 1
Al2 Al 0.000 0.500 0.276 1
Si1 Si 0.000 0.000 0.539 1
Tc1 Tc 0.000 0.500 0.755 1
```

Computed properties:
**E_tot**: -5.808 eV/atom

=====

Al2Si3Tc4: relaxed, PBE.

CIF file:
```
data_Al2Si3Tc4
_chemical_formula_sum 'Al4 Si6 Tc8'
_cell_length_a 8.029
_cell_length_b 3.990
_cell_length_c 7.835
_cell_angle_alpha 90.00
_cell_angle_beta 94.70
_cell_angle_gamma 90.00
_symmetry_space_group_name_H-M 'C 1 2/m 1'
_symmetry_Int_Tables_number 12
loop_
_symmetry_equiv_pos_as_xyz
'x,y,z'
'-x,-y,-z'
'-x,y,-z'
'x,-y,z'
'x+1/2,y+1/2,z'
'-x+1/2,-y+1/2,-z'
'-x+1/2,y+1/2,-z'
'x+1/2,-y+1/2,z'
loop_
_atom_site_label
_atom_site_type_symbol
_atom_site_fract_x
_atom_site_fract_y
_atom_site_fract_z
_atom_site_occupancy
Al1 Al 0.187 0.000 0.209 1
Si1 Si 0.000 0.500 0.000 1
Si2 Si 0.151 0.000 0.565 1
Tc1 Tc 0.050 0.500 0.353 1
Tc2 Tc 0.139 0.000 0.876 1
```

Computed properties:
**E_tot**: -7.591 eV/atom

=====

Al2SiTc: relaxed, PBE.

CIF file:
```
data_Al2SiTc
_chemical_formula_sum 'Al8 Si4 Tc4'
_cell_length_a 7.195
_cell_length_b 7.195
_cell_length_c 5.050
_cell_angle_alpha 90.00
_cell_angle_beta 90.00
_cell_angle_gamma 90.00
_symmetry_space_group_name_H-M 'I -4 2 d'
_symmetry_Int_Tables_number 122
_symmetry_space_group_name_Hall 'I -4 2bw'
loop_
_atom_site_label
_atom_site_type_symbol
_atom_site_fract_x
_atom_site_fract_y
_atom_site_fract_z
_atom_site_occupancy
Al1 Al 0.243 0.250 0.125 1
Si1 Si 0.000 0.000 0.000 1
Tc1 Tc 0.000 0.000 0.500 1
```

Computed properties:
**E_tot**: -5.437 eV/atom

=====

AlSi2Tc2: relaxed, PBE.

CIF file:
```
data_AlSi2Tc2
_chemical_formula_sum 'Al2 Si4 Tc4'
_cell_length_a 6.833
_cell_length_b 6.833
_cell_length_c 2.968
_cell_angle_alpha 90.00
_cell_angle_beta 90.00
_cell_angle_gamma 90.00
_symmetry_space_group_name_H-M 'P 4/m b m'
_symmetry_Int_Tables_number 127
_symmetry_space_group_name_Hall '-P 4 2ab'
loop_
_atom_site_label
_atom_site_type_symbol
_atom_site_fract_x
_atom_site_fract_y
_atom_site_fract_z
_atom_site_occupancy
Al1 Al 0.000 0.000 0.000 1
Si1 Si 0.134 0.366 0.000 1
Tc1 Tc 0.160 0.660 0.500 1
```

Computed properties:
**ΔE to the lowest computed polymorph**: 69 meV/atom
**E_tot**: -7.378 eV/atom

=====

AlSiTc2: relaxed, PBE.

CIF file:
```
data_AlSiTc2
_chemical_formula_sum 'Al4 Si4 Tc8'
_cell_length_a 6.693
_cell_length_b 6.693
_cell_length_c 5.509
_cell_angle_alpha 90.00
_cell_angle_beta 90.00
_cell_angle_gamma 90.00
_symmetry_space_group_name_H-M 'I -4 2 d'
_symmetry_Int_Tables_number 122
_symmetry_space_group_name_Hall 'I -4 2bw'
loop_
_atom_site_label
_atom_site_type_symbol
_atom_site_fract_x
_atom_site_fract_y
_atom_site_fract_z
_atom_site_occupancy
Al1 Al 0.000 0.000 0.000 1
Si1 Si 0.000 0.000 0.500 1
Tc1 Tc 0.216 0.750 0.625 1
```

Computed properties:
**ΔE to the lowest computed polymorph**: 659 meV/atom
**E_tot**: -7.221 eV/atom

=====

Uncorrected formation energy (computed, meV per atom): -285; 11; -344; 382; -313; 253